{"formula": "ScReSb4", "functional": "PBE", "state": "optimized geometry", "lattice": [[0.000, 4.262, 4.262], [4.262, 0.000, 4.262], [4.262, 4.262, 0.000]], "species": ["Sc", "Re", "Sb", "Sb", "Sb", "Sb"], "fractional_positions": [[0.000, 0.000, 0.000], [0.750, 0.750, 0.750], [0.375, 0.375, 0.375], [0.375, 0.375, 0.874], [0.375, 0.874, 0.375], [0.874, 0.375, 0.375]], "rho_g_cm3": 7.705, "crystal_system": "cubic", "formation_energy_uncorrected_mev_per_atom": 938, "e_tot_ev_per_atom": -4.9404, "space_group": "F-43m", "total_magnetization_mub_per_fu": 2.40}